# Ac2TiBi PBE optimized geometry
# electronic total energy: -18.3 eV per formula unit
# energy relative to the lowest polymorph listed for this composition: 525 meV per atom
# DOS at the Fermi energy: 5.39 states/eV/cell
# volume: 34.77 Å³ per atom
# energy of formation: 164 kJ/mol of formula units
data_Ac2TiBi
_cell_length_a 3.595
_cell_length_b 3.595
_cell_length_c 12.599
_cell_angle_alpha 81.80
_cell_angle_beta 81.80
_cell_angle_gamma 60.00
_symmetry_space_group_name_H-M 'P 1'
_symmetry_Int_Tables_number 1
loop_
_symmetry_equiv_pos_as_xyz
'x,y,z'
loop_
_atom_site_label
_atom_site_type_symbol
_atom_site_fract_x
_atom_site_fract_y
_atom_site_fract_z
Ti1 Ti 0.000 0.000 0.000
Bi1 Bi 0.500 0.500 0.500
Ac1 Ac 0.086 0.086 0.743
Ac2 Ac 0.914 0.914 0.257

=====

# AcTl4Bi PBE optimized geometry
# electronic total energy: -17.9 eV per formula unit
# DOS at the Fermi energy: 6.34 states/eV/cell
# volume: 32.06 Å³ per atom
# energy of formation: -47 kJ/mol of formula units
data_AcTl4Bi
_cell_length_a 6.480
_cell_length_b 6.480
_cell_length_c 6.480
_cell_angle_alpha 60.00
_cell_angle_beta 60.00
_cell_angle_gamma 60.00
_symmetry_space_group_name_H-M 'P 1'
_symmetry_Int_Tables_number 1
loop_
_symmetry_equiv_pos_as_xyz
'x,y,z'
loop_
_atom_site_label
_atom_site_type_symbol
_atom_site_fract_x
_atom_site_fract_y
_atom_site_fract_z
Bi1 Bi 0.000 0.000 0.000
Ac1 Ac 0.250 0.250 0.250
Tl1 Tl 0.625 0.124 0.625
Tl2 Tl 0.124 0.625 0.625
Tl3 Tl 0.625 0.625 0.124
Tl4 Tl 0.625 0.625 0.625

=====

# AcTl2Bi PBE optimized geometry
# electronic total energy: -14.5 eV per formula unit
# energy relative to the lowest polymorph listed for this composition: 0 meV per atom
# DOS at the Fermi energy: 1.95 states/eV/cell
# volume: 32.37 Å³ per atom
# energy of formation: -172 kJ/mol of formula units
data_AcTl2Bi
_cell_length_a 5.130
_cell_length_b 5.024
_cell_length_c 5.024
_cell_angle_alpha 90.00
_cell_angle_beta 90.00
_cell_angle_gamma 90.00
_symmetry_space_group_name_H-M 'P 1'
_symmetry_Int_Tables_number 1
loop_
_symmetry_equiv_pos_as_xyz
'x,y,z'
loop_
_atom_site_label
_atom_site_type_symbol
_atom_site_fract_x
_atom_site_fract_y
_atom_site_fract_z
Bi1 Bi 0.500 0.000 0.000
Ac1 Ac 0.500 0.500 0.500
Tl1 Tl 0.000 0.000 0.500
Tl2 Tl 0.000 0.500 0.000

=====

# Ac2TlBi PBE optimized geometry
# electronic total energy: -17.1 eV per formula unit
# energy relative to the lowest polymorph listed for this composition: 0 meV per atom
# DOS at the Fermi energy: 5.29 states/eV/cell
# volume: 39.49 Å³ per atom
# energy of formation: -253 kJ/mol of formula units
data_Ac2TlBi
_cell_length_a 4.821
_cell_length_b 4.940
_cell_length_c 13.493
_cell_angle_alpha 100.55
_cell_angle_beta 90.00
_cell_angle_gamma 90.00
_symmetry_space_group_name_H-M 'P 1'
_symmetry_Int_Tables_number 1
loop_
_symmetry_equiv_pos_as_xyz
'x,y,z'
loop_
_atom_site_label
_atom_site_type_symbol
_atom_site_fract_x
_atom_site_fract_y
_atom_site_fract_z
Ac1 Ac 0.250 0.317 0.634
Ac2 Ac 0.750 0.938 0.876
Ac3 Ac 0.750 0.683 0.366
Ac4 Ac 0.250 0.062 0.124
Bi1 Bi 0.250 0.188 0.377
Bi2 Bi 0.750 0.812 0.623
Tl1 Tl 0.750 0.541 0.082
Tl2 Tl 0.250 0.459 0.918

=====

# Ac2TlBi4 PBE optimized geometry
# electronic total energy: -29.7 eV per formula unit
# energy relative to the lowest polymorph listed for this composition: 13 meV per atom
# DOS at the Fermi energy: 4.30 states/eV/cell
# volume: 36.51 Å³ per atom
# energy of formation: -351 kJ/mol of formula units
data_Ac2TlBi4
_cell_length_a 7.207
_cell_length_b 7.207
_cell_length_c 7.074
_cell_angle_alpha 120.41
_cell_angle_beta 120.41
_cell_angle_gamma 90.43
_symmetry_space_group_name_H-M 'P 1'
_symmetry_Int_Tables_number 1
loop_
_symmetry_equiv_pos_as_xyz
'x,y,z'
loop_
_atom_site_label
_atom_site_type_symbol
_atom_site_fract_x
_atom_site_fract_y
_atom_site_fract_z
Bi1 Bi 0.786 0.786 0.072
Bi2 Bi 0.286 0.286 0.071
Bi3 Bi 0.286 0.786 0.071
Bi4 Bi 0.786 0.286 0.071
Tl1 Tl 0.786 0.786 0.572
Ac1 Ac 0.786 0.286 0.571
Ac2 Ac 0.286 0.786 0.571

=====

# Ac12Tl6Bi PBE optimized geometry
# electronic total energy: -69.8 eV per formula unit
# DOS at the Fermi energy: 23.29 states/eV/cell
# volume: 41.20 Å³ per atom
# energy of formation: -234 kJ/mol of formula units
data_Ac12Tl6Bi
_cell_length_a 9.906
_cell_length_b 9.906
_cell_length_c 9.906
_cell_angle_alpha 108.15
_cell_angle_beta 108.15
_cell_angle_gamma 108.15
_symmetry_space_group_name_H-M 'P 1'
_symmetry_Int_Tables_number 1
loop_
_symmetry_equiv_pos_as_xyz
'x,y,z'
loop_
_atom_site_label
_atom_site_type_symbol
_atom_site_fract_x
_atom_site_fract_y
_atom_site_fract_z
Ac1 Ac 0.869 0.305 0.006
Ac2 Ac 0.994 0.131 0.695
Ac3 Ac 0.695 0.994 0.131
Ac4 Ac 0.641 0.540 0.878
Ac5 Ac 0.878 0.641 0.540
Ac6 Ac 0.359 0.460 0.122
Ac7 Ac 0.006 0.869 0.305
Ac8 Ac 0.122 0.359 0.460
Ac9 Ac 0.540 0.878 0.641
Ac10 Ac 0.305 0.006 0.869
Ac11 Ac 0.131 0.695 0.994
Ac12 Ac 0.460 0.122 0.359
Tl1 Tl 0.667 0.817 0.361
Tl2 Tl 0.333 0.183 0.639
Tl3 Tl 0.183 0.639 0.333
Tl4 Tl 0.817 0.361 0.667
Tl5 Tl 0.639 0.333 0.183
Tl6 Tl 0.361 0.667 0.817
Bi1 Bi 0.000 0.000 0.000

=====

# Ac2TlBi4 PBE optimized geometry
# electronic total energy: -29.8 eV per formula unit
# energy relative to the lowest polymorph listed for this composition: 0 meV per atom
# DOS at the Fermi energy: 3.07 states/eV/cell
# volume: 36.73 Å³ per atom
# energy of formation: -360 kJ/mol of formula units
data_Ac2TlBi4
_cell_length_a 4.740
_cell_length_b 4.740
_cell_length_c 11.442
_cell_angle_alpha 90.00
_cell_angle_beta 90.00
_cell_angle_gamma 90.00
_symmetry_space_group_name_H-M 'P 1'
_symmetry_Int_Tables_number 1
loop_
_symmetry_equiv_pos_as_xyz
'x,y,z'
loop_
_atom_site_label
_atom_site_type_symbol
_atom_site_fract_x
_atom_site_fract_y
_atom_site_fract_z
Ac1 Ac 0.000 0.500 0.264
Ac2 Ac 0.500 0.000 0.736
Tl1 Tl 0.500 0.500 0.000
Bi1 Bi 0.500 0.500 0.500
Bi2 Bi 0.000 0.500 0.815
Bi3 Bi 0.500 0.000 0.185
Bi4 Bi 0.000 0.000 0.500

=====

# AcTlBi4 PBE optimized geometry
# electronic total energy: -23.3 eV per formula unit
# energy relative to the lowest polymorph listed for this composition: 43 meV per atom
# DOS at the Fermi energy: 3.91 states/eV/cell
# volume: 34.72 Å³ per atom
# energy of formation: -128 kJ/mol of formula units
data_AcTlBi4
_cell_length_a 6.654
_cell_length_b 6.654
_cell_length_c 6.654
_cell_angle_alpha 60.00
_cell_angle_beta 60.00
_cell_angle_gamma 60.00
_symmetry_space_group_name_H-M 'P 1'
_symmetry_Int_Tables_number 1
loop_
_symmetry_equiv_pos_as_xyz
'x,y,z'
loop_
_atom_site_label
_atom_site_type_symbol
_atom_site_fract_x
_atom_site_fract_y
_atom_site_fract_z
Bi1 Bi 0.626 0.123 0.626
Bi2 Bi 0.626 0.626 0.123
Bi3 Bi 0.123 0.626 0.626
Bi4 Bi 0.626 0.626 0.626
Ac1 Ac 0.250 0.250 0.250
Tl1 Tl 0.000 0.000 0.000